Ba2Zr2Rh: relaxed, PBE-GGA.

- N(E_F): 8.0 states/eV/cell
- Total moment: 0.000 μB/f.u.
- Symmetry: No. 139
- Energy relative to the elements: 42.59 kJ per mole of atoms
- Excess energy over the best structure of this formula in the dataset: 0.000 eV per atom

a = 3.928 Å, b = 3.928 Å, c = 11.244 Å
α = 79.94°, β = 79.94°, γ = 90.00°
Sites, in units of the cell vectors:
Zr (0.750, 0.250, 0.500)
Zr (0.250, 0.750, 0.500)
Ba (0.584, 0.584, 0.831)
Ba (0.416, 0.416, 0.169)
Rh (0.000, 0.000, 0.000)

---

TlCuPb2: relaxed, PBE-GGA.

- N(E_F): 1.9 states/eV/cell
- Total moment: 0.000 μB/f.u.
- Symmetry: No. 65
- Energy relative to the elements: 28.14 kJ per mole of atoms

a = 5.491 Å, b = 5.491 Å, c = 3.613 Å
α = 90.00°, β = 90.00°, γ = 102.06°
Sites, in units of the cell vectors:
Cu (0.000, 0.500, 0.500)
Pb (0.500, 0.500, 0.000)
Pb (0.000, 0.000, 0.000)
Tl (0.500, 0.000, 0.500)